Computed, not measured: a relaxed La3ScCd4 crystal at the PBE level of DFT. Values from VASP.

Computed properties:
* uncorrected energy: -3.40 eV per atom

Quantum ESPRESSO input file:
```
&SYSTEM
  ibrav = 0, nat = 8, ntyp = 3
/
ATOMIC_SPECIES
La 138.91 La.upf
Sc 44.96 Sc.upf
Cd 112.41 Cd.upf
CELL_PARAMETERS angstrom
3.632 0.000 0.000
0.000 3.632 0.000
0.000 0.000 16.929
ATOMIC_POSITIONS angstrom
La 0.000 0.000 0.000
La 0.000 0.000 4.540
La 0.000 0.000 12.389
Sc 0.000 0.000 8.464
Cd 1.816 1.816 2.271
Cd 1.816 1.816 6.819
Cd 1.816 1.816 10.110
Cd 1.816 1.816 14.657
```